# 1
This record from the Alexandria database describes crystalline H3Pt3Au at its relaxed geometry. The functional is PBE.

```
H3Pt3Au
1.0
5.3789 0.0000 0.0000
0.0000 5.3789 0.0000
0.0000 0.0000 5.3789
H Au Pt
6 2 6
direct
0.2500 0.0000 0.5000
0.0000 0.5000 0.2500
0.5000 0.7500 0.0000
0.7500 0.0000 0.5000
0.0000 0.5000 0.7500
0.5000 0.2500 0.0000
0.5000 0.5000 0.5000
0.0000 0.0000 0.0000
0.0000 0.2500 0.5000
0.0000 0.7500 0.5000
0.5000 0.0000 0.7500
0.7500 0.5000 0.0000
0.5000 0.0000 0.2500
0.2500 0.5000 0.0000
```

**VASP energy**: -60.36 eV/cell

# 2
This record from the Alexandria database describes crystalline Cs2AlCl at its relaxed geometry. The functional is PBE.

```
Cs2AlCl
1.0
4.7476 -4.0704 1.3465
-0.7759 -6.2679 -1.0163
3.1775 -2.8890 -4.7412
Cs Al Cl
2 1 1
direct
0.2500 0.2500 0.2500
0.7500 0.7500 0.7500
0.0000 0.0000 0.0000
0.5000 0.5000 0.5000
```

**Energy above the lowest structure with this stoichiometry**: 73 meV per atom
**Raw formation energy**: -349 meV/atom

# 3
This record from the Alexandria database describes crystalline TlFeN2 at its relaxed geometry. The functional is PBE.

```
TlFeN2
1.0
5.5216 0.0000 0.0000
0.0000 5.5216 0.0000
2.7608 2.7608 3.9368
Tl Fe N
2 2 4
direct
0.0000 0.0000 0.0000
0.7500 0.2500 0.5000
0.5000 0.5000 0.0000
0.2500 0.7500 0.5000
0.4581 0.1250 0.2500
0.2919 0.6250 0.2500
0.3750 0.5419 0.7500
0.8750 0.7081 0.7500
```

**Energy above the lowest structure with this stoichiometry**: 0 meV per atom
**Raw formation energy**: 375 meV/atom

# 4
This record from the Alexandria database describes crystalline CaMg2GeRh2 at its relaxed geometry. The functional is PBE.

```
CaMg2GeRh2
1.0
-0.8730 0.1819 4.5942
-4.2437 -1.8316 -0.7339
2.2688 -5.5171 0.6495
Ca Mg Ge Rh
1 2 1 2
direct
0.0000 0.0000 0.5000
0.5000 0.5000 0.7558
0.5000 0.5000 0.2442
0.0000 0.0000 0.0000
0.5000 0.0000 0.0000
0.0000 0.5000 0.0000
```

**Energy of formation from the pure elements**: -0.331 eV/atom

# 5
This record from the Alexandria database describes crystalline ThTaS4 at its relaxed geometry. The functional is PBE.

```
ThTaS4
1.0
-6.0584 -2.1183 2.7614
0.7157 -5.7047 -2.8060
5.6089 -1.3581 4.1916
Th Ta S
2 2 8
direct
0.0000 0.0000 0.0000
0.5000 0.5000 0.0000
0.5000 0.0000 0.5000
0.0000 0.5000 0.5000
0.9023 0.6433 0.1589
0.5977 0.1433 0.8411
0.1641 0.1893 0.3888
0.3359 0.6893 0.6112
0.0977 0.3567 0.8411
0.4023 0.8567 0.1589
0.8359 0.8107 0.6112
0.6641 0.3107 0.3888
```

**Raw formation energy**: -1254 meV/atom

# 6
This record from the Alexandria database describes crystalline AcBiPdSe at its relaxed geometry. The functional is PBE.

```
AcBiPdSe
1.0
5.2750 0.0000 0.0000
2.6375 4.5683 0.0000
2.6375 1.5228 4.3070
Ac Se Bi Pd
1 1 1 1
direct
0.5000 0.5000 0.5000
0.2500 0.2500 0.2500
0.0000 0.0000 0.0000
0.7500 0.7500 0.7500
```

**Raw formation energy**: -743 meV/atom

# 7
This record from the Alexandria database describes crystalline Pr4Y3Sc2 at its relaxed geometry. The functional is PBE.

```
Pr4Y3Sc2
1.0
-1.6446 -2.7613 -1.6541
6.4966 -0.7329 -1.2863
7.0959 -9.2411 8.3720
Pr Y Sc
4 3 2
direct
0.6536 0.3072 0.1276
0.1055 0.2110 0.6165
0.8945 0.7890 0.3835
0.3464 0.6928 0.8724
0.3758 0.7517 0.6132
0.0000 0.0000 0.0000
0.6242 0.2483 0.3868
0.3390 0.6780 0.2075
0.6610 0.3220 0.7925
```

**Energy above the lowest structure with this stoichiometry**: 44 meV per atom
**Energy of formation from the pure elements**: 0.094 eV/atom

# 8
This record from the Alexandria database describes crystalline Tb8Pm2Ho at its relaxed geometry. The functional is PBE.

```
Tb8Pm2Ho
1.0
5.6700 1.6503 0.0000
2.6248 8.6494 0.0000
1.3124 4.3247 8.0901
Tb Pm Ho
8 2 1
direct
0.8244 0.0987 0.2318
0.8244 0.3305 0.7682
0.2956 0.4260 0.0000
0.5000 0.7935 0.4130
0.5000 0.2065 0.5870
0.7044 0.5740 0.0000
0.1756 0.6695 0.2318
0.1756 0.9013 0.7682
0.0000 0.3073 0.3854
0.0000 0.6927 0.6146
0.5000 0.0000 0.0000
```

**Energy above the lowest structure with this stoichiometry**: 138 meV per atom
**Energy of formation from the pure elements**: 0.155 eV/atom

# 9
This record from the Alexandria database describes crystalline TeOsSe2 at its relaxed geometry. The functional is PBE.

```
TeOsSe2
1.0
6.8010 0.0041 0.0006
4.5136 5.0873 -0.0006
-5.2258 -3.5046 2.5811
Os Se Te
1 2 1
direct
0.2317 0.7317 0.5000
0.0788 0.0788 0.0000
0.7674 0.2674 0.5000
0.4221 0.4221 0.0000
```

**Raw formation energy**: 380 meV/atom

# 10
This record from the Alexandria database describes crystalline AcSm4Tl at its relaxed geometry. The functional is PBE.

```
AcSm4Tl
1.0
-2.6290 5.2370 -0.7971
-2.8673 -2.2852 -5.5566
-7.1383 -5.9870 6.1456
Ac Sm Tl
2 8 2
direct
0.8647 0.7055 0.7294
0.1353 0.2055 0.2706
0.9433 0.2101 0.8866
0.0567 0.7101 0.1134
0.4570 0.8920 0.9140
0.5430 0.3920 0.0860
0.6881 0.5809 0.3762
0.3119 0.0809 0.6238
0.7464 0.1017 0.4928
0.2536 0.6017 0.5072
0.5998 0.9432 0.1996
0.4002 0.4432 0.8004
```

**Energy above the lowest structure with this stoichiometry**: 130 meV per atom
**Energy of formation from the pure elements**: 0.037 eV/atom

# 11
This record from the Alexandria database describes crystalline TbScSe2 at its relaxed geometry. The functional is PBE.

```
TbScSe2
1.0
-1.5849 2.5250 2.4334
0.5757 -3.6399 1.1090
6.4350 1.7442 2.3815
Tb Sc Se
1 1 2
direct
0.0000 0.5000 0.5000
0.0000 0.5000 0.0000
0.6667 0.8333 0.7674
0.3333 0.1667 0.2326
```

**Energy above the lowest structure with this stoichiometry**: 35 meV per atom
**Raw formation energy**: -1656 meV/atom

# 12
This record from the Alexandria database describes crystalline Rb2YIr3O12 at its relaxed geometry. The functional is PBE.

```
Rb2YIr3O12
1.0
-0.8593 -4.4301 6.1500
1.5814 -7.4622 -0.0392
5.9084 -2.9835 3.7916
Rb Y Ir O
2 1 3 12
direct
0.6117 0.6117 0.6117
0.3883 0.3883 0.3883
0.0000 0.0000 0.0000
0.5000 0.0000 0.0000
0.0000 0.5000 0.0000
0.0000 0.0000 0.5000
0.3116 0.3116 0.9151
0.9255 0.9255 0.3557
0.3557 0.9255 0.9255
0.9151 0.3116 0.3116
0.9255 0.3557 0.9255
0.3116 0.9151 0.3116
0.6884 0.6884 0.0849
0.0745 0.0745 0.6443
0.6443 0.0745 0.0745
0.0849 0.6884 0.6884
0.0745 0.6443 0.0745
0.6884 0.0849 0.6884
```

**Raw formation energy**: -1186 meV/atom